Entry 1:
Crystalline AlBi2Mo at its relaxed geometry, computed with PBE-GGA.

POSCAR file:
```
AlBi2Mo
1.0
4.312 1.758 1.912
-0.026 4.114 2.901
0.910 -0.395 4.935
Mo Al Bi
1 1 2
Direct
0.500 0.500 0.500
0.750 0.750 0.750
0.000 0.000 0.000
0.250 0.250 0.250
```

---

Entry 2:
Crystalline Ta4AlBiN2 at its relaxed geometry, computed with PBE-GGA.

POSCAR file:
```
Ta4AlBiN2
1.0
3.174 0.000 0.000
-1.587 2.749 0.000
0.000 0.000 14.451
Bi N Ta Al
1 2 4 1
Direct
0.667 0.333 0.500
0.333 0.667 0.233
0.333 0.667 0.767
0.000 0.000 0.311
0.667 0.333 0.850
0.000 0.000 0.689
0.667 0.333 0.150
0.000 0.000 0.000
```

---

Entry 3:
Crystalline Zr4AlBiN2 at its relaxed geometry, computed with PBE-GGA.

POSCAR file:
```
Zr4AlBiN2
1.0
-2.665 -0.776 -1.822
3.039 -0.254 -1.312
0.845 -13.762 4.626
Zr N Al Bi
4 2 1 1
Direct
0.000 0.000 0.170
0.333 0.667 0.657
0.333 0.667 0.343
0.000 0.000 0.830
0.667 0.333 0.258
0.667 0.333 0.742
0.000 0.000 0.500
0.333 0.667 0.000
```

---

Entry 4:
Crystalline AlSi6NiBi at its relaxed geometry, computed with PBE-GGA.

POSCAR file:
```
AlSi6NiBi
1.0
0.000 4.257 4.257
4.257 0.000 4.257
4.257 4.257 0.000
Si Ni Al Bi
6 1 1 1
Direct
0.970 0.530 0.530
0.970 0.970 0.530
0.530 0.970 0.530
0.530 0.970 0.970
0.970 0.530 0.970
0.530 0.530 0.970
0.250 0.250 0.250
0.500 0.500 0.500
0.000 0.000 0.000
```

---

Entry 5:
Crystalline Zr2AlNi2Bi at its relaxed geometry, computed with PBE-GGA.

POSCAR file:
```
Zr2AlNi2Bi
1.0
6.113 0.000 0.000
0.000 6.113 0.000
3.057 3.057 6.111
Zr Bi Ni Al
4 2 4 2
Direct
0.493 0.993 0.014
0.243 0.243 0.514
0.757 0.757 0.486
0.007 0.507 0.986
0.500 0.500 0.000
0.750 0.250 0.500
0.125 0.639 0.250
0.625 0.111 0.250
0.361 0.375 0.750
0.889 0.875 0.750
0.250 0.750 0.500
0.000 0.000 0.000
```

---

Entry 6:
AlBiOs (PBE-GGA, relaxed); ΔE to the lowest computed polymorph = 0 kJ/mol of formula units
1.0
0.000 3.162 3.162
3.162 0.000 3.162
3.162 3.162 0.000
Bi Os Al
1 1 1
Direct
0.750 0.750 0.750
0.000 0.000 0.000
0.250 0.250 0.250

---

Entry 7:
PmAlBi (PBE-GGA, relaxed); ΔE to the lowest computed polymorph = 0 kJ/mol of formula units
1.0
-2.493 -4.376 -0.047
-4.484 -0.320 -2.272
-0.467 -2.586 -4.297
Al Pm Bi
1 1 1
Direct
0.000 0.000 0.000
0.750 0.750 0.750
0.250 0.250 0.250

---

Entry 8:
PmAlBi (PBE-GGA, relaxed); ΔE to the lowest computed polymorph = 34 kJ/mol of formula units
1.0
-2.573 -4.023 1.988
-5.160 0.139 0.333
-2.872 -3.008 -3.076
Bi Al Pm
1 1 1
Direct
0.750 0.750 0.750
0.250 0.250 0.250
0.000 0.000 0.000

---

Entry 9:
Crystalline Zr2AlBiPt2 at its relaxed geometry, computed with PBE-GGA.

POSCAR file:
```
Zr2AlBiPt2
1.0
4.519 -6.372 0.000
4.519 6.372 0.000
-4.519 0.000 4.519
Pt Al Zr Bi
4 2 4 2
Direct
0.125 0.375 0.478
0.353 0.103 0.978
0.897 0.647 0.022
0.625 0.875 0.522
0.250 0.750 0.500
0.000 0.000 0.000
0.004 0.996 0.500
0.754 0.246 0.000
0.246 0.754 0.000
0.496 0.504 0.500
0.500 0.500 0.000
0.750 0.250 0.500
```

---

Entry 10:
TaAlBi (PBE-GGA, relaxed); ΔE to the lowest computed polymorph = 112 kJ/mol of formula units
1.0
0.000 3.368 3.368
3.368 0.000 3.368
3.368 3.368 0.000
Ta Bi Al
1 1 1
Direct
0.750 0.750 0.750
0.000 0.000 0.000
0.250 0.250 0.250

---

Entry 11:
TaAlBi (PBE-GGA, relaxed); ΔE to the lowest computed polymorph = 0 kJ/mol of formula units
1.0
-3.383 -1.706 2.812
-4.422 1.599 -0.392
-3.367 -2.785 -1.781
Al Ta Bi
1 1 1
Direct
0.250 0.250 0.250
0.000 0.000 0.000
0.750 0.750 0.750

---

Entry 12:
Crystalline Al2TcBi at its relaxed geometry, computed with PBE-GGA.

POSCAR file:
```
Al2TcBi
1.0
0.000 3.322 3.322
3.322 0.000 3.322
3.322 3.322 0.000
Al Bi Tc
2 1 1
Direct
0.750 0.750 0.750
0.000 0.000 0.000
0.500 0.500 0.500
0.250 0.250 0.250
```

---

Entry 13:
AlTcBi (PBE-GGA, relaxed); ΔE to the lowest computed polymorph = 0 kJ/mol of formula units
1.0
0.000 3.181 3.181
3.181 0.000 3.181
3.181 3.181 0.000
Al Bi Tc
1 1 1
Direct
0.250 0.250 0.250
0.750 0.750 0.750
0.000 0.000 0.000

---

Entry 14:
Crystalline TmAlBiTe3 at its relaxed geometry, computed with PBE-GGA.

POSCAR file:
```
TmAlBiTe3
1.0
2.047 -7.701 0.000
2.047 7.701 0.000
0.000 0.000 11.980
Bi Te Tm Al
2 6 2 2
Direct
0.692 0.308 0.750
0.308 0.692 0.250
0.644 0.356 0.002
0.356 0.644 0.998
0.034 0.966 0.250
0.644 0.356 0.498
0.356 0.644 0.502
0.966 0.034 0.750
0.000 0.000 0.500
0.000 0.000 0.000
0.340 0.660 0.750
0.660 0.340 0.250
```

---

Entry 15:
Crystalline Tm5Al2Bi at its relaxed geometry, computed with PBE-GGA.

POSCAR file:
```
Tm5Al2Bi
1.0
8.524 0.804 -0.235
1.580 -6.712 5.081
-4.855 -0.494 -7.039
Tm Al Bi
10 4 2
Direct
0.991 0.798 0.500
0.202 0.702 0.193
0.509 0.009 0.807
0.009 0.202 0.500
0.500 0.500 0.000
0.491 0.991 0.193
0.702 0.509 0.500
0.000 0.000 0.000
0.798 0.298 0.807
0.298 0.491 0.500
0.143 0.643 0.787
0.857 0.357 0.213
0.643 0.857 0.500
0.357 0.143 0.500
0.750 0.750 0.000
0.250 0.250 0.000
```

---

Entry 16:
Crystalline AlBiW at its relaxed geometry, computed with PBE-GGA.

POSCAR file:
```
AlBiW
1.0
-0.559 -4.574 0.203
-3.728 -1.779 2.052
-3.273 -2.038 -2.531
Bi W Al
1 1 1
Direct
0.750 0.750 0.750
0.000 0.000 0.000
0.250 0.250 0.250
```

---

Entry 17:
Crystalline AlZnBi2 at its relaxed geometry, computed with PBE-GGA.

POSCAR file:
```
AlZnBi2
1.0
-1.769 -2.308 4.398
-5.181 -0.242 0.950
-2.518 -4.624 -0.279
Al Bi Zn
1 2 1
Direct
0.750 0.750 0.750
0.000 0.000 0.000
0.250 0.250 0.250
0.500 0.500 0.500
```

---

Entry 18:
Crystalline K2AlCdBr6 at its relaxed geometry, computed with PBE-GGA.

POSCAR file:
```
K2AlCdBr6
1.0
0.000 5.454 5.454
5.454 0.000 5.454
5.454 5.454 0.000
K Al Br Cd
2 1 6 1
Direct
0.250 0.250 0.250
0.750 0.750 0.750
0.000 0.000 0.000
0.764 0.764 0.236
0.764 0.236 0.764
0.236 0.236 0.764
0.236 0.764 0.764
0.236 0.764 0.236
0.764 0.236 0.236
0.500 0.500 0.500
```

---

Entry 19:
Crystalline AlCuBr2Cl2 at its relaxed geometry, computed with PBE-GGA.

POSCAR file:
```
AlCuBr2Cl2
1.0
4.165 -5.071 0.000
4.165 5.071 0.000
-4.075 0.000 4.194
Br Cl Al Cu
2 2 1 1
Direct
0.107 0.359 0.961
0.641 0.893 0.039
0.828 0.577 0.474
0.423 0.172 0.526
0.746 0.254 0.500
0.504 0.496 0.000
```

---

Entry 20:
Crystalline AlCuBr2Cl2 at its relaxed geometry, computed with PBE-GGA.

POSCAR file:
```
AlCuBr2Cl2
1.0
-3.316 3.435 -3.425
1.407 -3.326 -4.653
-3.070 -3.045 4.741
Cu Cl Al Br
1 2 1 2
Direct
0.499 0.506 0.000
0.362 0.838 0.253
0.586 0.649 0.745
0.256 0.750 0.500
0.149 0.110 0.750
0.898 0.398 0.252
```

---

Entry 21:
Crystalline Nd3AlBrCl2 at its relaxed geometry, computed with PBE-GGA.

POSCAR file:
```
Nd3AlBrCl2
1.0
5.943 0.000 0.000
0.000 5.943 0.000
0.000 0.000 5.871
Nd Al Cl Br
3 1 2 1
Direct
0.000 0.500 0.500
0.500 0.000 0.500
0.000 0.000 0.000
0.000 0.000 0.500
0.000 0.500 0.000
0.500 0.000 0.000
0.500 0.500 0.500
```

---

Entry 22:
Crystalline Al2PdBr2Cl6 at its relaxed geometry, computed with PBE-GGA.

POSCAR file:
```
Al2PdBr2Cl6
1.0
5.967 -4.125 0.000
5.967 4.125 0.000
-0.747 0.000 7.065
Pd Al Cl Br
1 2 6 2
Direct
0.000 0.000 0.000
0.216 0.216 0.320
0.784 0.784 0.680
0.690 0.081 0.837
0.919 0.310 0.163
0.081 0.690 0.837
0.310 0.919 0.163
0.615 0.615 0.736
0.385 0.385 0.264
0.188 0.188 0.633
0.812 0.812 0.367
```

---

Entry 23:
Crystalline Al2PdBr6Cl2 at its relaxed geometry, computed with PBE-GGA.

POSCAR file:
```
Al2PdBr6Cl2
1.0
-5.233 -5.673 0.533
0.417 -3.832 6.708
-4.386 5.266 2.443
Cl Br Al Pd
2 6 2 1
Direct
0.827 0.827 0.390
0.173 0.173 0.610
0.912 0.319 0.155
0.619 0.619 0.702
0.319 0.912 0.155
0.088 0.681 0.845
0.381 0.381 0.298
0.681 0.088 0.845
0.791 0.791 0.666
0.209 0.209 0.334
0.000 0.000 0.000
```

---

Entry 24:
Crystalline Al2PtBr6Cl2 at its relaxed geometry, computed with PBE-GGA.

POSCAR file:
```
Al2PtBr6Cl2
1.0
-6.505 -1.342 3.686
1.352 -1.724 7.273
-0.093 7.609 1.014
Al Br Cl Pt
2 6 2 1
Direct
0.220 0.220 0.322
0.780 0.780 0.678
0.188 0.188 0.608
0.082 0.685 0.844
0.315 0.918 0.156
0.685 0.082 0.844
0.812 0.812 0.392
0.918 0.315 0.156
0.382 0.382 0.275
0.618 0.618 0.725
0.000 0.000 0.000
```

---

Entry 25:
Crystalline AlCo3Br at its relaxed geometry, computed with PBE-GGA.

POSCAR file:
```
AlCo3Br
1.0
-2.459 5.366 2.926
2.459 -5.366 2.926
2.459 5.366 -2.926
Al Br Co
2 2 6
Direct
0.196 0.446 0.750
0.804 0.554 0.250
0.500 0.000 0.500
0.000 0.000 0.000
0.392 0.500 0.392
0.608 0.500 0.608
0.794 0.044 0.750
0.608 0.000 0.108
0.392 0.000 0.892
0.206 0.956 0.250
```

---

Entry 26:
Crystalline AlCuI3Br at its relaxed geometry, computed with PBE-GGA.

POSCAR file:
```
AlCuI3Br
1.0
6.318 0.000 0.000
-0.039 6.401 0.000
-2.981 -3.158 5.538
I Cu Al Br
3 1 1 1
Direct
0.115 0.604 0.754
0.857 0.880 0.246
0.389 0.357 0.246
0.502 0.500 0.999
0.746 0.247 0.505
0.641 0.162 0.751
```

---

| no. | E (eV per atom) |
| --- | --- |
| 1 | -4.868 |
| 2 | -9.310 |
| 3 | -8.307 |
| 4 | -4.686 |
| 5 | -6.540 |
| 6 | -6.005 |
| 7 | -4.298 |
| 8 | -4.179 |
| 9 | -7.067 |
| 10 | -5.384 |
| 11 | -5.772 |
| 12 | -5.018 |
| 13 | -5.665 |
| 14 | -4.153 |
| 15 | -4.666 |
| 16 | -5.957 |
| 17 | -2.977 |
| 18 | -2.854 |
| 19 | -3.422 |
| 20 | -3.422 |
| 21 | -4.704 |
| 22 | -3.590 |
| 23 | -3.384 |
| 24 | -3.429 |
| 25 | -5.048 |
| 26 | -2.884 |